VASP calculation (GGA-PBE) on an optimized crystal structure of DyEr2Th3.

## Properties
**Energy above the most stable polymorph in this dataset**: 0.0000 eV per atom
**Symmetry**: P2_1/m
**Total energy**: -5.969 eV per atom
**Energy of formation**: 29 meV/atom
**D(E_F)**: 16.8 states/eV per cell

The structure in CIF format:
```
data_DyEr2Th3
_chemical_formula_sum 'Dy2 Er4 Th6'
_space_group_name_H-M_alt 'P 1'
_space_group_IT_number 1
_cell_length_a 3.5608
_cell_length_b 10.0188
_cell_length_c 10.6391
_cell_angle_alpha 89.38
_cell_angle_beta 90.00
_cell_angle_gamma 90.00
loop_
_space_group_symop_operation_xyz
'x,y,z'
loop_
_atom_site_label
_atom_site_type_symbol
_atom_site_fract_x
_atom_site_fract_y
_atom_site_fract_z
_atom_site_occupancy
Th1 Th 0.2500 0.3744 0.7511 1
Th2 Th 0.2500 0.8742 0.4169 1
Th3 Th 0.7500 0.1258 0.5831 1
Th4 Th 0.2500 0.3776 0.0818 1
Th5 Th 0.7500 0.6224 0.9182 1
Th6 Th 0.7500 0.6256 0.2489 1
Er1 Er 0.2500 0.3745 0.4172 1
Er2 Er 0.7500 0.6255 0.5828 1
Er3 Er 0.7500 0.1305 0.9141 1
Er4 Er 0.2500 0.8695 0.0859 1
Dy1 Dy 0.7500 0.1228 0.2531 1
Dy2 Dy 0.2500 0.8772 0.7469 1
```